Entry from Alexandria via LeMat-Bulk: PuV2H after structural relaxation (PBE-GGA).

The total magnetic moment comes out at 0.17 μB per atom. For the electronic total energy, the calculation gives -8.6404 eV/atom.

Unit cell a=2.6532 b=2.6532 c=23.2708 alpha=90.00 beta=90.00 gamma=120.00
Space group R-3m (No. 166, hexagonal axes)
Asymmetric unit:
Pu: 0.0000 0.0000 0.0000 [3 per cell]
V: 0.0000 0.0000 0.1149 [6 per cell]
H: 0.0000 0.0000 0.5000 [3 per cell]


Entry from Alexandria via LeMat-Bulk: Ca3Ta3TiN8 after structural relaxation (PBE-GGA).

The total magnetic moment comes out at 0.00 μB per atom. The calculation puts the formation energy from raw total energies at -1.24 eV per atom.

Unit cell a=6.2525 b=6.2525 c=16.8488 alpha=90.00 beta=90.00 gamma=120.00
Space group R-3m (No. 166, hexagonal axes)
Asymmetric unit:
Ca: 0.0000 0.5000 0.0000 [9 per cell]
Ta: 0.0000 0.5000 0.5000 [9 per cell]
Ti: 0.0000 0.0000 0.5000 [3 per cell]
N: 0.0000 0.0000 0.2381 [6 per cell]
N: 0.0014 0.5007 0.2327 [18 per cell]


Entry from Alexandria via LeMat-Bulk: Li3Hg4 after structural relaxation (PBE-GGA).

The total magnetic moment comes out at 0.00 μB per atom. Its offset from the most stable computed form is 0.22 eV/f.u. The calculated formation energy is -284 meV per atom.

Unit cell a=4.7398 b=4.7398 c=21.8648 alpha=90.00 beta=90.00 gamma=120.00
Space group R-3m (No. 166, hexagonal axes)
Asymmetric unit:
Li: 0.0000 0.0000 0.0000 [3 per cell]
Li: 0.0000 0.0000 0.2581 [6 per cell]
Hg: 0.0000 0.0000 0.1296 [6 per cell]
Hg: 0.0000 0.0000 0.3881 [6 per cell]


Entry from Alexandria via LeMat-Bulk: Tl7O2F2 after structural relaxation (PBE-GGA).

The total magnetic moment comes out at 0.00 μB per atom. The calculation puts the formation energy from raw total energies at -0.84 eV per atom.

Unit cell a=7.9496 b=11.3149 c=7.0669 alpha=90.00 beta=93.22 gamma=90.00
Space group C2/m (No. 12)
Asymmetric unit:
Tl: 0.0000 0.0000 0.0000 [2 per cell]
Tl: 0.1339 0.5000 0.2488 [4 per cell]
Tl: 0.2052 0.3002 0.7739 [8 per cell]
O: 0.1596 0.5000 0.8487 [4 per cell]
F: 0.0000 0.3324 0.5000 [4 per cell]


Entry from Alexandria via LeMat-Bulk: Al2Cu after structural relaxation (PBE-GGA).

The total magnetic moment comes out at 0.00 μB per atom. The calculated formation energy is -73 meV per atom.

Unit cell a=2.7946 b=3.8218 c=8.2551 alpha=90.00 beta=90.00 gamma=90.00
Space group Immm (No. 71)
Asymmetric unit:
Al: 0.0000 0.0000 0.1630 [4 per cell]
Cu: 0.0000 0.0000 0.5000 [2 per cell]